No. 1
DFT (PBE) results for a geometry-optimized NbFeCu structure.

## Properties
The value obtained for the energy of formation is 0.089 eV per atom. Its density of states at the Fermi level is 0.95 states/eV/atom. As for the spin magnetization: 0.659 μB per formula unit. The symmetry is I4mm (107).

Lattice parameters (Å, degrees): 3.188 3.189 4.671 109.97 109.96 89.98
Site moments in Bohr magnetons follow the coordinates.
Fractional coordinates of all 3 atoms:
1 Nb 0.342 0.205 0.751  -0.38
2 Fe 0.996 0.859 0.059  1.13
3 Cu 0.663 0.525 0.393  -0.04

No. 2
DFT (PBE) results for a geometry-optimized NbFe4Cu structure.

## Properties
The value obtained for the energy of formation is -0.039 eV per atom. Its density of states at the Fermi level is 0.64 states/eV/atom. As for the spin magnetization: 5.965 μB per formula unit. The symmetry is F-43m (216).

Lattice parameters (Å, degrees): 4.729 4.729 4.729 60.00 60.00 60.00
Site moments in Bohr magnetons follow the coordinates.
Fractional coordinates of all 6 atoms:
1 Nb 0.250 0.250 0.250  -0.69
2 Fe 0.626 0.626 0.121  1.68
3 Fe 0.626 0.121 0.626  1.68
4 Fe 0.626 0.626 0.626  1.68
5 Fe 0.121 0.626 0.626  1.68
6 Cu 0.000 0.000 0.000  0.04

No. 3
DFT (PBE) results for a geometry-optimized Nb2FeCu structure.

## Properties
The value obtained for the energy of formation is 0.147 eV per atom. Its density of states at the Fermi level is 1.53 states/eV/atom. As for the spin magnetization: 0.001 μB per formula unit. The symmetry is Fm-3m (225).

Lattice parameters (Å, degrees): 4.384 4.384 4.384 60.00 60.00 60.00
Fractional coordinates of all 4 atoms:
1 Nb 0.250 0.250 0.250
2 Nb 0.750 0.750 0.750
3 Fe 0.000 0.000 0.000
4 Cu 0.500 0.500 0.500

No. 4
DFT (PBE) results for a geometry-optimized NbFeCuNi structure.

## Properties
The value obtained for the energy of formation is 0.011 eV per atom. Its density of states at the Fermi level is 0.32 states/eV/atom. As for the spin magnetization: 0.000 μB per formula unit. The symmetry is F-43m (216).

Lattice parameters (Å, degrees): 4.168 4.168 4.168 60.00 60.00 60.00
Fractional coordinates of all 4 atoms:
1 Ni 0.000 0.000 0.000
2 Nb 0.750 0.750 0.750
3 Fe 0.500 0.500 0.500
4 Cu 0.250 0.250 0.250